LiY2Ta: relaxed, PBE.

Output
As for the energy above the most stable polymorph in this dataset: 346 meV/atom.

a b c (Å): 3.307 5.152 5.680
angles (deg): 90.00 90.00 90.00
Element x y z (fractional)
1 Li 0.000 0.000 0.000
2 Y 0.000 0.500 0.500
3 Y 0.500 0.500 0.000
4 Ta 0.500 0.000 0.500